<one>
Below is TbErTlPb after structural relaxation, with properties calculated at the PBE-GGA level.

Properties
Calculated volume = 445 Å³ per cell

```
data_TbErTlPb
_chemical_formula_sum 'Tb4 Er4 Tl4 Pb4'
_cell_length_a 7.635
_cell_length_b 7.635
_cell_length_c 7.635
_cell_angle_alpha 90.00
_cell_angle_beta 90.00
_cell_angle_gamma 90.00
_space_group_name_H-M_alt 'F -4 3 m'
_space_group_IT_number 216
_space_group_name_Hall 'F -4 2 3'
loop_
_atom_site_label
_atom_site_fract_x
_atom_site_fract_y
_atom_site_fract_z
Tb1 0.000 0.000 0.000
Er1 0.000 0.000 0.500
Tl1 0.250 0.250 0.750
Pb1 0.250 0.250 0.250
```

---

<two>
Below is TbErTlPb after structural relaxation, with properties calculated at the PBE-GGA level.

Properties
Calculated volume = 220 Å³ per cell

```
data_TbErTlPb
_chemical_formula_sum 'Tb2 Er2 Tl2 Pb2'
_cell_length_a 5.005
_cell_length_b 5.005
_cell_length_c 8.798
_cell_angle_alpha 90.00
_cell_angle_beta 90.00
_cell_angle_gamma 90.00
_space_group_name_H-M_alt 'I -4 m 2'
_space_group_IT_number 119
_space_group_name_Hall 'I -4 -2'
loop_
_atom_site_label
_atom_site_fract_x
_atom_site_fract_y
_atom_site_fract_z
Tb1 0.000 0.000 0.000
Er1 0.000 0.000 0.500
Tl1 0.000 0.500 0.750
Pb1 0.000 0.500 0.250
```

---

Ranked by calculated energy, most stable first: <two>, <one>.

---

<one>
Below is Er3TcPb after structural relaxation, with properties calculated at the PBE-GGA level.

Properties
Calculated volume = 530 Å³ per cell

```
data_Er3TcPb
_chemical_formula_sum 'Er12 Tc4 Pb4'
_cell_length_a 13.275
_cell_length_b 5.059
_cell_length_c 9.384
_cell_angle_alpha 90.00
_cell_angle_beta 122.76
_cell_angle_gamma 90.00
_space_group_name_H-M_alt 'C 1 2/m 1'
_space_group_IT_number 12
loop_
_space_group_symop_operation_xyz
'x,y,z'
'-x,-y,-z'
'-x,y,-z'
'x,-y,z'
'x+1/2,y+1/2,z'
'-x+1/2,-y+1/2,-z'
'-x+1/2,y+1/2,-z'
'x+1/2,-y+1/2,z'
loop_
_atom_site_label
_atom_site_fract_x
_atom_site_fract_y
_atom_site_fract_z
Er1 0.090 0.000 0.417
Er2 0.099 0.500 0.735
Er3 0.160 0.500 0.217
Tc1 0.190 0.500 0.537
Pb1 0.113 0.000 0.976
```

---

<two>
Below is Er3TcPb after structural relaxation, with properties calculated at the PBE-GGA level.

Properties
Calculated volume = 258 Å³ per cell

```
data_Er3TcPb
_chemical_formula_sum 'Er6 Tc2 Pb2'
_cell_length_a 9.420
_cell_length_b 3.379
_cell_length_c 8.097
_cell_angle_alpha 90.00
_cell_angle_beta 90.00
_cell_angle_gamma 90.00
_space_group_name_H-M_alt 'P m m a'
_space_group_IT_number 51
loop_
_space_group_symop_operation_xyz
'x,y,z'
'-x,-y,-z'
'-x+1/2,-y,z'
'x+1/2,y,-z'
'x+1/2,-y,-z'
'-x+1/2,y,z'
'-x,y,-z'
'x,-y,z'
loop_
_atom_site_label
_atom_site_fract_x
_atom_site_fract_y
_atom_site_fract_z
Er1 0.046 0.000 0.216
Er2 0.250 0.000 0.559
Tc1 0.000 0.500 0.500
Pb1 0.250 0.500 0.932
```

---

Ranked by calculated energy, most stable first: <one>, <two>.

---

<one>
Below is Er2TcPb after structural relaxation, with properties calculated at the PBE-GGA level.

Properties
Calculated volume = 298 Å³ per cell

```
data_Er2TcPb
_chemical_formula_sum 'Er6 Tc3 Pb3'
_cell_length_a 3.4921
_cell_length_b 3.4921
_cell_length_c 28.1915
_cell_angle_alpha 90.00
_cell_angle_beta 90.00
_cell_angle_gamma 120.00
_space_group_name_H-M_alt 'R -3 m'
_space_group_IT_number 166
_space_group_name_Hall '-R 3 2"'
loop_
_atom_site_label
_atom_site_fract_x
_atom_site_fract_y
_atom_site_fract_z
Er1 0.0000 0.0000 0.2369
Tc1 0.0000 0.0000 0.5000
Pb1 0.0000 0.0000 0.0000
```

---

<two>
Below is Er2TcPb after structural relaxation, with properties calculated at the PBE-GGA level.

Properties
Calculated volume = 95 Å³ per cell

```
data_Er2TcPb
_chemical_formula_sum 'Er2 Tc1 Pb1'
_cell_length_a 3.557
_cell_length_b 3.557
_cell_length_c 7.505
_cell_angle_alpha 90.00
_cell_angle_beta 90.00
_cell_angle_gamma 90.00
_space_group_name_H-M_alt 'P 4/m m m'
_space_group_IT_number 123
_space_group_name_Hall '-P 4 2'
loop_
_atom_site_label
_atom_site_fract_x
_atom_site_fract_y
_atom_site_fract_z
Er1 0.000 0.000 0.210
Tc1 0.500 0.500 0.000
Pb1 0.500 0.500 0.500
```

---

Ranked by calculated energy, most stable first: <two>, <one>.

---

<one>
Below is Er5Te2Pb2 after structural relaxation, with properties calculated at the PBE-GGA level.

Properties
Calculated volume = 1011 Å³ per cell

```
data_Er5Te2Pb2
_chemical_formula_sum 'Er20 Te8 Pb8'
_cell_length_a 15.334
_cell_length_b 8.090
_cell_length_c 8.147
_cell_angle_alpha 90.00
_cell_angle_beta 90.00
_cell_angle_gamma 90.00
_space_group_name_H-M_alt 'C m c e'
_space_group_IT_number 64
_space_group_name_Hall '-C 2ac 2'
loop_
_atom_site_label
_atom_site_fract_x
_atom_site_fract_y
_atom_site_fract_z
Er1 0.000 0.000 0.000
Er2 0.136 0.162 0.339
Te1 0.201 0.000 0.000
Pb1 0.000 0.143 0.642
```

---

<two>
Below is Er5Te2Pb2 after structural relaxation, with properties calculated at the PBE-GGA level.

Properties
Calculated volume = 1083 Å³ per cell

```
data_Er5Te2Pb2
_chemical_formula_sum 'Er20 Te8 Pb8'
_cell_length_a 17.267
_cell_length_b 7.716
_cell_length_c 8.128
_cell_angle_alpha 90.00
_cell_angle_beta 90.00
_cell_angle_gamma 90.00
_space_group_name_H-M_alt 'I m a 2'
_space_group_IT_number 46
loop_
_space_group_symop_operation_xyz
'x,y,z'
'-x,-y,z'
'-x+1/2,y,z'
'x+1/2,-y,z'
'x+1/2,y+1/2,z+1/2'
'-x+1/2,-y+1/2,z+1/2'
'-x,y+1/2,z+1/2'
'x,-y+1/2,z+1/2'
loop_
_atom_site_label
_atom_site_fract_x
_atom_site_fract_y
_atom_site_fract_z
Er1 0.055 0.228 0.000
Er2 0.155 0.631 0.110
Er3 0.250 0.180 0.267
Te1 0.000 0.000 0.734
Te2 0.250 0.546 0.431
Pb1 0.089 0.546 0.770
```

---

Ranked by calculated energy, most stable first: <one>, <two>.

---

<one>
Below is Er5Te4Pb after structural relaxation, with properties calculated at the PBE-GGA level.

Properties
Calculated volume = 580 Å³ per cell

```
data_Er5Te4Pb
_chemical_formula_sum 'Er10 Te8 Pb2'
_cell_length_a 4.339
_cell_length_b 4.339
_cell_length_c 30.827
_cell_angle_alpha 90.00
_cell_angle_beta 90.00
_cell_angle_gamma 90.00
_space_group_name_H-M_alt 'I 4/m m m'
_space_group_IT_number 139
_space_group_name_Hall '-I 4 2'
loop_
_atom_site_label
_atom_site_fract_x
_atom_site_fract_y
_atom_site_fract_z
Er1 0.000 0.000 0.000
Er2 0.000 0.000 0.204
Er3 0.000 0.000 0.403
Te1 0.000 0.000 0.103
Te2 0.000 0.000 0.302
Pb1 0.000 0.000 0.500
```

---

<two>
Below is Er5Te4Pb after structural relaxation, with properties calculated at the PBE-GGA level.

Properties
Calculated volume = 581 Å³ per cell

```
data_Er5Te4Pb
_chemical_formula_sum 'Er10 Te8 Pb2'
_cell_length_a 9.733
_cell_length_b 9.733
_cell_length_c 6.129
_cell_angle_alpha 90.00
_cell_angle_beta 90.00
_cell_angle_gamma 90.00
_space_group_name_H-M_alt 'I 4'
_space_group_IT_number 79
loop_
_space_group_symop_operation_xyz
'x,y,z'
'-y,x,z'
'-x,-y,z'
'y,-x,z'
'x+1/2,y+1/2,z+1/2'
'-y+1/2,x+1/2,z+1/2'
'-x+1/2,-y+1/2,z+1/2'
'y+1/2,-x+1/2,z+1/2'
loop_
_atom_site_label
_atom_site_fract_x
_atom_site_fract_y
_atom_site_fract_z
Er1 0.000 0.000 0.000
Er2 0.101 0.294 0.501
Te1 0.097 0.303 0.001
Pb1 0.000 0.000 0.500
```

---

Ranked by calculated energy, most stable first: <two>, <one>.

---

<one>
Below is ErTh2Pb after structural relaxation, with properties calculated at the PBE-GGA level.

Properties
Calculated volume = 119 Å³ per cell

```
data_ErTh2Pb
_chemical_formula_sum 'Er1 Th2 Pb1'
_cell_length_a 4.812
_cell_length_b 4.812
_cell_length_c 5.144
_cell_angle_alpha 90.00
_cell_angle_beta 90.00
_cell_angle_gamma 90.00
_space_group_name_H-M_alt 'P 4/m m m'
_space_group_IT_number 123
_space_group_name_Hall '-P 4 2'
loop_
_atom_site_label
_atom_site_fract_x
_atom_site_fract_y
_atom_site_fract_z
Er1 0.000 0.000 0.000
Th1 0.000 0.500 0.500
Pb1 0.500 0.500 0.000
```

---

<two>
Below is ErTh2Pb after structural relaxation, with properties calculated at the PBE-GGA level.

Properties
Calculated volume = 380 Å³ per cell

```
data_ErTh2Pb
_chemical_formula_sum 'Er3 Th6 Pb3'
_cell_length_a 3.5634
_cell_length_b 3.5634
_cell_length_c 34.5259
_cell_angle_alpha 90.00
_cell_angle_beta 90.00
_cell_angle_gamma 120.00
_space_group_name_H-M_alt 'R 3 m'
_space_group_IT_number 160
_space_group_name_Hall 'R 3 -2"'
loop_
_atom_site_label
_atom_site_fract_x
_atom_site_fract_y
_atom_site_fract_z
Er1 0.0000 0.0000 0.0000
Th1 0.0000 0.0000 0.5824
Th2 0.0000 0.0000 0.7505
Pb1 0.0000 0.0000 0.1657
```

---

<three>
Below is ErTh2Pb after structural relaxation, with properties calculated at the PBE-GGA level.

Properties
Calculated volume = 397 Å³ per cell

```
data_ErTh2Pb
_chemical_formula_sum 'Er3 Th6 Pb3'
_cell_length_a 3.5149
_cell_length_b 3.5149
_cell_length_c 37.1269
_cell_angle_alpha 90.00
_cell_angle_beta 90.00
_cell_angle_gamma 120.00
_space_group_name_H-M_alt 'R -3 m'
_space_group_IT_number 166
_space_group_name_Hall '-R 3 2"'
loop_
_atom_site_label
_atom_site_fract_x
_atom_site_fract_y
_atom_site_fract_z
Er1 0.0000 0.0000 0.0000
Th1 0.0000 0.0000 0.4112
Pb1 0.0000 0.0000 0.5000
```

---

Ranked by calculated energy, most stable first: <one>, <two>, <three>.